Here is Mo2ClO after structural relaxation from Alexandria via LeMat-Bulk. Energies are from PBE+U.

Cell lengths 4.662, 4.662, 4.662 Å; angles 60.00, 60.00, 60.00 degrees
Last column: magnetic moment on the atom in μB.
Element x y z (fractional)
Cl 0.500 0.500 0.500  0.00
Mo 0.250 0.250 0.250  4.00
Mo 0.750 0.750 0.750  4.00
O 0.000 0.000 0.000  -0.16

Properties
Total energy   -4.6070 eV/atom
E above lowest polymorph   401 meV/atom
Space group   Fm-3m (225)
Calculated volume   72 Å³ per cell